No. 1
# Na8Hg2Ge

Crystalline Na8Hg2Ge at its relaxed geometry (PBE, Alexandria via LeMat-Bulk).

Computed properties:
crystal system: monoclinic
ΔE_f: -0.1077 eV per atom

Cell: 17.0764 5.3339 7.4439 Å, 90.00 112.06 90.00°
Space group C2/m (No. 12)
One atom of each set of equivalent atoms:
Na 0.0197 0.0000 0.2835
Na 0.1123 0.5000 0.9218
Na 0.1573 0.5000 0.4148
Na 0.1779 0.0000 0.7283
Hg 0.1898 0.0000 0.1762
Ge 0.0000 0.5000 0.5000

***

No. 2
# Li4YPt

Crystalline Li4YPt at its relaxed geometry (PBE, Alexandria via LeMat-Bulk).

Computed properties:
crystal system: cubic
ΔE_f: -0.2186 eV per atom

Cell: 7.3290 7.3290 7.3290 Å, 90.00 90.00 90.00°
Space group F-43m (No. 216)
One atom of each set of equivalent atoms:
Li 0.1216 0.1216 0.1216
Y 0.0000 0.0000 0.5000
Pt 0.2500 0.2500 0.7500

***

No. 3
# KSb2

Crystalline KSb2 at its relaxed geometry (PBE, Alexandria via LeMat-Bulk).

Computed properties:
crystal system: hexagonal
energy: -3.253 eV per atom

Cell: 5.7002 5.7002 3.3162 Å, 90.00 90.00 120.00°
Space group P6/mmm (No. 191)
One atom of each set of equivalent atoms:
K 0.0000 0.0000 0.0000
Sb 0.3333 0.6667 0.5000

***

Number 1: magnetization 0.00 Bohr magnetons per cell, N(E_F) 8.23 states/eV per cell, volume 28.56 Å³/atom. Number 2: magnetization 0.00 Bohr magnetons per cell, N(E_F) 16.56 states/eV per cell, volume 16.40 Å³/atom. Number 3: magnetization 0.00 Bohr magnetons per cell, N(E_F) 1.62 states/eV per cell, volume 31.10 Å³/atom.